# KSrTc4

KSrTc4 after structural relaxation (PBEsol, the Alexandria database).

Computed properties:
ΔH_f (0 K)   0.995 eV/atom
Total energy   -42.068 eV per formula unit
V   18.807 A^3/atom
Magnetic moment   0.003 Bohr magnetons per cell

Geometry as CIF:
```
data_KSrTc4
_cell_length_a 7.671
_cell_length_b 7.671
_cell_length_c 7.671
_cell_angle_alpha 90.00
_cell_angle_beta 90.00
_cell_angle_gamma 90.00
_space_group_name_H-M_alt 'F -4 3 m'
_space_group_IT_number 216
_space_group_name_Hall 'F -4 2 3'
loop_
_atom_site_label
_atom_site_fract_x
_atom_site_fract_y
_atom_site_fract_z
K1 0.000 0.000 0.000
Sr1 0.250 0.250 0.250
Tc1 0.125 0.125 0.625
```